VASP calculation (PBE) on crystalline Nd3Ir at its relaxed geometry.

Computed properties:
- SG = Pnma, No. 62
- energy (eV/atom) = -6.2373
- calculated formation energy (eV per atom) = -0.446

```
16
Lattice="6.5514 0.0000 0.0000 0.0000 7.3930 0.0000 0.0000 0.0000 9.8906" Properties=species:S:1:pos:R:3 pbc="T T T"
Ir 3.6768 4.5832 7.4180
Ir 2.8746 2.8098 2.4727
Ir 6.1504 0.8867 7.4180
Ir 0.4011 6.5063 2.4727
Nd 5.4285 6.0976 5.5975
Nd 1.1229 1.2954 0.6522
Nd 4.3986 2.4011 5.5975
Nd 4.2191 0.2670 2.4727
Nd 4.3986 2.4011 9.2384
Nd 2.1528 4.9919 0.6522
Nd 5.4285 6.0976 9.2384
Nd 1.1229 1.2954 4.2931
Nd 2.3324 7.1260 7.4180
Nd 2.1528 4.9919 4.2931
Nd 0.9433 3.4295 7.4180
Nd 5.6081 3.9635 2.4727
```